(1)
Density functional theory data (PBE-GGA) for crystalline NaTlGe at its relaxed geometry.

V = 276.4 Å³ per cell
formation enthalpy at 0 K = 0.623 eV/atom

Geometry as POSCAR:
```
NaTlGe
1.0
5.5297 0.0000 0.0000
-2.7649 4.7889 0.0000
0.0000 0.0000 10.4390
Na Tl Ge
2 2 2
direct
0.3333 0.6667 0.2500
0.6667 0.3333 0.7500
0.0000 0.0000 0.2500
0.0000 0.0000 0.7500
0.0000 0.0000 0.0000
0.0000 0.0000 0.5000
```

---

(2)
Density functional theory data (PBE-GGA) for crystalline LiLaNd at its relaxed geometry.

V = 96.7 Å³ per cell
energy above the lowest structure with this stoichiometry = 0.055 eV/f.u.
formation enthalpy at 0 K = 0.096 eV/atom

Geometry as POSCAR:
```
LiLaNd
1.0
3.6093 0.0000 0.0000
-1.8047 3.1258 0.0000
0.0000 0.0000 8.5710
Li La Nd
1 1 1
direct
0.0000 0.0000 0.0000
0.3333 0.6667 0.6705
0.6667 0.3333 0.3219
```

---

(3)
Density functional theory data (PBE-GGA) for crystalline Pr4Sm2Dy3 at its relaxed geometry.

V = 306.5 Å³ per cell
energy above the lowest structure with this stoichiometry = 0.000 eV/f.u.
formation enthalpy at 0 K = 0.016 eV/atom

Geometry as POSCAR:
```
Pr4Sm2Dy3
1.0
5.7336 -2.5798 0.0000
5.7336 2.5798 0.0000
-3.4138 0.0000 10.3589
Pr Sm Dy
4 2 3
direct
0.0019 0.0019 0.3334
0.3331 0.3331 0.1115
0.6669 0.6669 0.8885
0.9981 0.9981 0.6666
0.3320 0.3320 0.7752
0.6680 0.6680 0.2248
0.0000 0.0000 0.0000
0.3346 0.3346 0.4465
0.6654 0.6654 0.5535
```

---

(4)
Density functional theory data (PBE-GGA) for crystalline TaTiVIn at its relaxed geometry.

V = 69.7 Å³ per cell
formation enthalpy at 0 K = 0.035 eV/atom

Geometry as POSCAR:
```
TaTiVIn
1.0
0.0000 3.2657 3.2657
3.2657 0.0000 3.2657
3.2657 3.2657 0.0000
Ta Ti V In
1 1 1 1
direct
0.0000 0.0000 0.0000
0.7500 0.7500 0.7500
0.2500 0.2500 0.2500
0.5000 0.5000 0.5000
```

---

(5)
Density functional theory data (PBE-GGA) for crystalline CaAu at its relaxed geometry.

V = 55.7 Å³ per cell
formation enthalpy at 0 K = -0.668 eV/atom

Geometry as POSCAR:
```
CaAu
1.0
2.1413 1.2363 3.5085
-2.1413 1.2363 3.5085
0.0000 -2.4725 3.5085
Ca Au
1 1
direct
0.0000 0.0000 0.0000
0.5000 0.5000 0.5000
```

---

(6)
Density functional theory data (PBE-GGA) for crystalline TlNi2Se at its relaxed geometry.

V = 82.8 Å³ per cell
energy above the lowest structure with this stoichiometry = 0.069 eV/f.u.

Geometry as POSCAR:
```
TlNi2Se
1.0
4.5288 0.0000 0.0000
0.0000 4.0372 0.0000
-0.4681 0.0000 4.5275
Tl Ni Se
1 2 1
direct
0.0000 0.0000 0.0000
0.6791 0.0000 0.4458
0.9775 0.5000 0.5803
0.4529 0.5000 0.4602
```

---

(7)
Density functional theory data (PBE-GGA) for crystalline KAsN2F at its relaxed geometry.

V = 68.4 Å³ per cell
energy above the lowest structure with this stoichiometry = 0.000 eV/f.u.

Geometry as POSCAR:
```
KAsN2F
1.0
3.7353 0.0000 0.0000
0.0000 3.7353 0.0000
0.0000 0.0000 4.9026
K As N F
1 1 2 1
direct
0.0000 0.0000 0.0000
0.5000 0.5000 0.5000
0.0000 0.5000 0.5000
0.5000 0.0000 0.5000
0.5000 0.5000 0.0000
```

---

(8)
Density functional theory data (PBE-GGA) for crystalline Tb2HoGa at its relaxed geometry.

V = 115.6 Å³ per cell
energy above the lowest structure with this stoichiometry = 0.341 eV/f.u.
formation enthalpy at 0 K = -0.190 eV/atom

Geometry as POSCAR:
```
Tb2HoGa
1.0
1.8100 1.0450 10.1839
-1.8100 1.0450 10.1839
0.0000 -2.0900 10.1839
Tb Ho Ga
2 1 1
direct
0.0000 0.0000 0.0000
0.1905 0.1905 0.1905
0.7617 0.7617 0.7617
0.5956 0.5956 0.5956
```

---

(9)
Density functional theory data (PBE-GGA) for crystalline CdSiBr2 at its relaxed geometry.

V = 104.7 Å³ per cell
energy above the lowest structure with this stoichiometry = 0.911 eV/f.u.

Geometry as POSCAR:
```
CdSiBr2
1.0
3.4442 0.0000 0.0000
0.0000 3.4442 0.0000
0.0000 0.0000 8.8275
Cd Si Br
1 1 2
direct
0.0000 0.0000 0.0000
0.5000 0.5000 0.2130
0.0000 0.0000 0.4045
0.5000 0.5000 0.8083
```

---

(10)
Density functional theory data (PBE-GGA) for crystalline Ti3HN2 at its relaxed geometry.

V = 132.2 Å³ per cell
energy above the lowest structure with this stoichiometry = 1.107 eV/f.u.

Geometry as POSCAR:
```
Ti3HN2
1.0
5.1876 -3.0543 0.0000
5.1876 3.0543 0.0000
0.0000 0.0000 4.1705
Ti H N
6 2 4
direct
0.1500 0.8500 0.7500
0.1668 0.4881 0.2500
0.4881 0.1668 0.7500
0.5119 0.8332 0.2500
0.8332 0.5119 0.7500
0.8500 0.1500 0.2500
0.1752 0.8248 0.2500
0.8248 0.1752 0.7500
0.1682 0.5091 0.7500
0.4909 0.8318 0.7500
0.5091 0.1682 0.2500
0.8318 0.4909 0.2500
```

---

(11)
Density functional theory data (PBE-GGA) for crystalline PmNiSbPd at its relaxed geometry.

V = 77.5 Å³ per cell
DFT total energy = -22.22 eV for the cell shown

Geometry as POSCAR:
```
PmNiSbPd
1.0
0.0000 3.3836 3.3836
3.3836 0.0000 3.3836
3.3836 3.3836 0.0000
Pm Ni Sb Pd
1 1 1 1
direct
0.0000 0.0000 0.0000
0.7500 0.7500 0.7500
0.5000 0.5000 0.5000
0.2500 0.2500 0.2500
```

---

(12)
Density functional theory data (PBE-GGA) for crystalline YTaBiBr2 at its relaxed geometry.

V = 179.1 Å³ per cell
DFT total energy = -23.32 eV for the cell shown

Geometry as POSCAR:
```
YTaBiBr2
1.0
5.2305 0.0000 0.0000
0.0000 5.2305 0.0000
0.0000 0.0000 6.5447
Y Ta Bi Br
1 1 1 2
direct
0.0000 0.0000 0.0000
0.0000 0.0000 0.5000
0.5000 0.5000 0.5000
0.0000 0.5000 0.0000
0.5000 0.0000 0.0000
```

---

Look up the V of the sixth one.
82.8 Å³ per cell